BeAgPb4 at its PBEsol-relaxed geometry, computed with meta-GGA SCAN.

Results
The calculated total energy comes out at -55.70 eV per atom.

The structure in CIF format:
```
data_BeAgPb4
_symmetry_space_group_name_H-M 'F -4 3 m'
_symmetry_Int_Tables_number 216
_symmetry_space_group_name_Hall 'F -4 2 3'
_cell_length_a 8.837
_cell_length_b 8.837
_cell_length_c 8.837
_cell_angle_alpha 90.00
_cell_angle_beta 90.00
_cell_angle_gamma 90.00
loop_
_atom_site_label
_atom_site_type_symbol
_atom_site_fract_x
_atom_site_fract_y
_atom_site_fract_z
Be1 Be 0.000 0.000 0.000
Ag1 Ag 0.250 0.250 0.250
Pb1 Pb 0.125 0.125 0.625
```

=====

BeAgPb3 at its PBEsol-relaxed geometry, computed with meta-GGA SCAN.

Results
The calculated total energy comes out at -51.70 eV per atom.

The structure in CIF format:
```
data_BeAgPb3
_symmetry_space_group_name_H-M 'P m -3 m'
_symmetry_Int_Tables_number 221
_symmetry_space_group_name_Hall '-P 4 2 3'
_cell_length_a 5.382
_cell_length_b 5.382
_cell_length_c 5.382
_cell_angle_alpha 90.00
_cell_angle_beta 90.00
_cell_angle_gamma 90.00
loop_
_atom_site_label
_atom_site_type_symbol
_atom_site_fract_x
_atom_site_fract_y
_atom_site_fract_z
Be1 Be 0.000 0.000 0.000
Ag1 Ag 0.500 0.500 0.500
Pb1 Pb 0.000 0.500 0.500
```

=====

BeAgPb2 at its PBEsol-relaxed geometry, computed with meta-GGA SCAN.

Results
The calculated total energy comes out at -46.55 eV per atom.

The structure in CIF format:
```
data_BeAgPb2
_symmetry_space_group_name_H-M 'P 1 m 1'
_symmetry_Int_Tables_number 6
_cell_length_a 4.122
_cell_length_b 4.055
_cell_length_c 5.465
_cell_angle_alpha 90.00
_cell_angle_beta 111.63
_cell_angle_gamma 90.00
loop_
_symmetry_equiv_pos_as_xyz
'x,y,z'
'x,-y,z'
loop_
_atom_site_label
_atom_site_type_symbol
_atom_site_fract_x
_atom_site_fract_y
_atom_site_fract_z
Be1 Be 0.000 0.000 0.000
Ag1 Ag 0.872 0.500 0.738
Pb1 Pb 0.278 0.000 0.554
Pb2 Pb 0.579 0.500 0.152
```

=====

- calculated total energy of number 3 (BeAgPb2)?
  -46.55 eV per atom